A plane-wave DFT calculation with PBE-GGA was carried out for a geometry-optimized DyHo3Mn structure.

Geometry as POSCAR:
```
DyHo3Mn
1.0
5.2679 0.0000 0.0000
0.0000 5.2679 0.0000
0.0000 0.0000 5.2679
Ho Mn Dy
3 1 1
direct
0.5000 0.0000 0.0000 Ho
0.0000 0.5000 0.0000 Ho
0.0000 0.0000 0.5000 Ho
0.0000 0.0000 0.0000 Mn
0.5000 0.5000 0.5000 Dy
```

Properties
Its space group is Pm-3m, No. 221. The calculation puts the formation energy at 22.9 kJ per mole of atoms.

A plane-wave DFT calculation with PBE-GGA was carried out for a geometry-optimized Dy2HoMn structure.

Geometry as POSCAR:
```
Dy2HoMn
1.0
-1.6152 2.5040 -3.6586
-0.1279 -3.9509 -2.6476
-4.4685 -0.8071 1.4203
Ho Dy Mn
1 2 1
direct
0.5000 0.5000 0.5000 Ho
0.0000 0.5000 0.0000 Dy
0.0000 0.0000 0.5000 Dy
0.5000 0.0000 0.0000 Mn
```

Properties
The calculation puts the relative energy among the computed polymorphs at 0.392 eV/f.u. Its space group is P4/mmm, No. 123. The calculation puts the formation energy at 21.7 kJ per mole of atoms.

A plane-wave DFT calculation with PBE-GGA was carried out for a geometry-optimized DyHo2Mn structure.

Geometry as POSCAR:
```
DyHo2Mn
1.0
-0.3343 -3.1535 1.5308
3.1508 -0.9442 -1.2571
3.7464 3.0493 7.0999
Dy Ho Mn
1 2 1
direct
0.5000 0.5000 0.5000 Dy
0.0000 0.0000 0.2006 Ho
0.0000 0.0000 0.7994 Ho
0.5000 0.5000 0.0000 Mn
```

Properties
The calculation puts the relative energy among the computed polymorphs at 0.000 eV/f.u. Its space group is P4/mmm, No. 123. The calculation puts the formation energy at 11.6 kJ per mole of atoms.

A plane-wave DFT calculation with PBE-GGA was carried out for a geometry-optimized DyHoMn17 structure.

Geometry as POSCAR:
```
DyHoMn17
1.0
6.2875 -0.1488 0.5753
0.5114 6.2684 0.5753
-0.1654 -0.1488 6.3116
Mn Dy Ho
17 1 1
direct
0.7246 0.2755 0.0001 Mn
0.2755 0.7246 0.0001 Mn
0.8767 0.3556 0.3556 Mn
0.7246 0.0001 0.2755 Mn
0.2755 0.0001 0.7246 Mn
0.0996 0.0996 0.0996 Mn
0.0002 0.0002 0.5000 Mn
0.3556 0.3556 0.8767 Mn
0.3556 0.8767 0.3556 Mn
0.1235 0.6441 0.6441 Mn
0.6441 0.1235 0.6441 Mn
0.0001 0.7246 0.2755 Mn
0.6441 0.6441 0.1235 Mn
0.0002 0.5000 0.0002 Mn
0.9004 0.9004 0.9004 Mn
0.0001 0.2755 0.7246 Mn
0.5000 0.0002 0.0002 Mn
0.6448 0.6448 0.6448 Dy
0.3548 0.3548 0.3548 Ho
```

Properties
Its space group is R3m, No. 160. The calculation puts the formation energy at -0.2 kJ per mole of atoms.

A plane-wave DFT calculation with PBE-GGA was carried out for a geometry-optimized Dy2HoMn structure.

Geometry as POSCAR:
```
Dy2HoMn
1.0
3.3843 0.0000 0.0000
1.6921 2.9308 0.0000
1.6921 0.9769 11.2755
Mn Dy Ho
1 2 1
direct
0.0000 0.0000 0.0000 Mn
0.0819 0.0819 0.7544 Dy
0.9181 0.9181 0.2456 Dy
0.5000 0.5000 0.5000 Ho
```

Properties
The calculation puts the relative energy among the computed polymorphs at 1.533 eV/f.u. Its space group is R-3m, No. 166. The calculation puts the formation energy at 49.2 kJ per mole of atoms.

A plane-wave DFT calculation with PBE-GGA was carried out for a geometry-optimized DyHoMn2 structure.

Geometry as POSCAR:
```
DyHoMn2
1.0
-4.5566 1.5500 1.2105
-3.8915 -1.3221 -2.7818
-3.3311 -3.2270 1.7665
Mn Dy Ho
2 1 1
direct
0.7500 0.7500 0.7500 Mn
0.2500 0.2500 0.2500 Mn
0.5000 0.5000 0.5000 Dy
0.0000 0.0000 0.0000 Ho
```

Properties
The calculation puts the relative energy among the computed polymorphs at 0.000 eV/f.u. Its space group is Fm-3m, No. 225. The calculation puts the formation energy at 18.0 kJ per mole of atoms.

A plane-wave DFT calculation with PBE-GGA was carried out for a geometry-optimized DyHoMn2 structure.

Geometry as POSCAR:
```
DyHoMn2
1.0
3.5719 0.0000 0.0000
0.0000 4.9329 0.0000
0.0000 0.0000 4.9329
Ho Mn Dy
1 2 1
direct
0.5000 0.5000 0.5000 Ho
0.0000 0.5000 0.0000 Mn
0.0000 0.0000 0.5000 Mn
0.5000 0.0000 0.0000 Dy
```

Properties
The calculation puts the relative energy among the computed polymorphs at 0.020 eV/f.u. Its space group is P4/mmm, No. 123. The calculation puts the formation energy at 18.4 kJ per mole of atoms.

A plane-wave DFT calculation with PBE-GGA was carried out for a geometry-optimized DyHoMn4 structure.

Geometry as POSCAR:
```
DyHoMn4
1.0
0.0356 -4.0566 -3.0791
1.6394 -4.4992 1.7344
-3.3087 -3.7978 0.7532
Mn Ho Dy
4 1 1
direct
0.6250 0.6250 0.1249 Mn
0.1249 0.6250 0.6250 Mn
0.6250 0.1249 0.6250 Mn
0.6250 0.6250 0.6250 Mn
0.0000 0.0000 0.0000 Ho
0.2500 0.2500 0.2500 Dy
```

Properties
Its space group is F-43m, No. 216. The calculation puts the formation energy at 13.0 kJ per mole of atoms.

A plane-wave DFT calculation with PBE-GGA was carried out for a geometry-optimized DyHo2MnN4 structure.

Geometry as POSCAR:
```
DyHo2MnN4
1.0
-2.2241 1.6372 1.8856
0.8402 -5.2341 2.5704
8.5289 4.4233 6.2193
Dy N Mn Ho
2 8 2 4
direct
0.1190 0.2380 0.7500 Dy
0.8810 0.7620 0.2500 Dy
0.2672 0.5344 0.3671 N
0.2672 0.5344 0.1329 N
0.0000 0.0000 0.5000 N
0.7328 0.4656 0.6329 N
0.4279 0.8557 0.7500 N
0.0000 0.0000 0.0000 N
0.7328 0.4656 0.8671 N
0.5721 0.1443 0.2500 N
0.8498 0.6996 0.7500 Mn
0.1502 0.3004 0.2500 Mn
0.6320 0.2640 0.0434 Ho
0.6320 0.2640 0.4566 Ho
0.3680 0.7360 0.5434 Ho
0.3680 0.7360 0.9566 Ho
```

Properties
Its space group is Cmcm, No. 63. For the formation energy (no corrections), the calculation gives -1.204 eV per atom.

A plane-wave DFT calculation with PBE-GGA was carried out for a geometry-optimized DyHoMnOs structure.

Geometry as POSCAR:
```
DyHoMnOs
1.0
4.8911 0.0000 0.0000
2.4456 4.2358 0.0000
2.4456 1.4119 3.9936
Os Mn Dy Ho
1 1 1 1
direct
0.5000 0.5000 0.5000 Os
0.0000 0.0000 0.0000 Mn
0.7500 0.7500 0.7500 Dy
0.2500 0.2500 0.2500 Ho
```

Properties
Its space group is F-43m, No. 216. The calculation puts the formation energy at -1.4 kJ per mole of atoms.

A plane-wave DFT calculation with PBE-GGA was carried out for a geometry-optimized DyHoMnPd structure.

Geometry as POSCAR:
```
DyHoMnPd
1.0
4.9710 0.0000 0.0000
2.4855 4.3050 0.0000
2.4855 1.4350 4.0588
Mn Pd Dy Ho
1 1 1 1
direct
0.5000 0.5000 0.5000 Mn
0.0000 0.0000 0.0000 Pd
0.7500 0.7500 0.7500 Dy
0.2500 0.2500 0.2500 Ho
```

Properties
Its space group is F-43m, No. 216. The calculation puts the formation energy at -26.7 kJ per mole of atoms.

A plane-wave DFT calculation with PBE-GGA was carried out for a geometry-optimized DyHoMnRh structure.

Geometry as POSCAR:
```
DyHoMnRh
1.0
4.8991 0.0000 0.0000
2.4495 4.2427 0.0000
2.4495 1.4142 4.0001
Dy Ho Mn Rh
1 1 1 1
direct
0.7500 0.7500 0.7500 Dy
0.2500 0.2500 0.2500 Ho
0.5000 0.5000 0.5000 Mn
0.0000 0.0000 0.0000 Rh
```

Properties
Its space group is F-43m, No. 216. The calculation puts the formation energy at -27.2 kJ per mole of atoms.

What calculated volume values result from the calculations? In sequence: 146.2; 106.8; 106.5; 250.3; 111.8; 86.4; 86.9; 93.4; 216.2; 82.7; 86.9; 83.1 Å³ per cell.
What calculated total energy values result from the calculations? In sequence: -5.2639; -5.5128; -5.6120; -8.6899; -5.2276; -6.6936; -6.6886; -7.5086; -8.2327; -7.4093; -6.1621; -6.7075 eV per atom.
What density of states at the Fermi level values result from the calculations? In sequence: 8.11; 5.59; 5.78; 18.46; 4.44; 3.72; 4.36; 9.16; 5.37; 2.44; 4.64; 4.83 states/eV/cell.